! K2TiWO6 PBE with a Hubbard U optimized geometry; values from VASP
&SYSTEM
  ibrav = 0, nat = 10, ntyp = 4
/
ATOMIC_SPECIES
K 39.10 K.upf
Ti 47.87 Ti.upf
W 183.84 W.upf
O 16.00 O.upf
CELL_PARAMETERS angstrom
-2.786 2.786 4.109
2.786 -2.786 4.109
2.786 2.786 -4.109
ATOMIC_POSITIONS crystal
K 0.000 0.500 0.500
K 0.500 0.000 0.500
Ti 0.234 0.234 0.000
W 0.745 0.745 0.000
O 0.009 0.009 0.495
O 0.009 0.514 0.000
O 0.013 0.013 0.000
O 0.514 0.009 0.000
O 0.514 0.514 0.505
O 0.522 0.522 0.000
! - SG: I4mm
! - Uncorrected energy: -7.038 eV/atom